# 1
Cs3ZrOs | GGA-PBEsol | optimized geometry

Lattice parameters (Å, degrees): 5.9077 5.9077 5.9077 90.00 90.00 90.00
With the nearest neighbours (Å) after each atom.
Space group Pm-3m (No. 221)
Unique sites:
Cs: 0.0000 0.0000 0.5000 x3  2 Os 2.95
Zr: 0.5000 0.5000 0.5000 x1  12 Cs 4.18
Os: 0.0000 0.0000 0.0000 x1  6 Cs 2.95

Calculated formation energy in eV/atom: 1.995
DOS(E_F) in states/eV/cell: 11.5

# 2
K2TaAlSn | GGA-PBEsol | optimized geometry

Lattice parameters (Å, degrees): 6.3144 6.3144 5.3087 90.00 90.00 90.00
With the nearest neighbours (Å) after each atom.
Space group P4/mmm (No. 123)
Unique sites:
K: 0.0000 0.5000 0.0000 x2  2 Sn 3.16
Ta: 0.0000 0.0000 0.5000 x1  2 Sn 2.65
Al: 0.5000 0.5000 0.5000 x1  8 K 4.12, 4 Ta 4.46
Sn: 0.0000 0.0000 0.0000 x1  2 Ta 2.65

Calculated formation energy in eV/atom: 1.334
DOS(E_F) in states/eV/cell: 7.9

# 3
BeSi5 | GGA-PBEsol | optimized geometry

Lattice parameters (Å, degrees): 10.7007 2.5721 6.5802 90.00 112.25 90.00
With the nearest neighbours (Å) after each atom.
Space group C2/m (No. 12)
Unique sites:
Be: 0.0000 0.0000 0.0000 x2  6 Si 2.36-2.44, 2 Be 2.57
Si: 0.0000 0.5000 0.5000 x2  8 Si 2.46-2.57
Si: 0.1558 0.5000 0.3056 x4  2 Be 2.44, 4 Si 2.46-2.57
Si: 0.1617 0.0000 0.8352 x4  1 Be 2.36, 7 Si 2.46-2.61

E_tot in eV/atom: -5.173
DOS(E_F) in states/eV/cell: 4.2

Which formula does entry 3 have? BeSi5

What is the formula in the third record? BeSi5

Number 1 is which compound? Cs3ZrOs